Record 1
This record from Alexandria describes HoPu2Ge3Pt4 after structural relaxation. The functional is PBE-GGA.

Unit cell a=4.2061 b=4.2061 c=11.4640 alpha=90.00 beta=90.00 gamma=90.00
Sites, in units of the cell vectors:
1 Ho 0.0000 0.0000 0.0000
2 Pu 0.0000 0.5000 0.7309
3 Pu 0.5000 0.0000 0.2691
4 Ge 0.0000 0.5000 0.3741
5 Ge 0.5000 0.0000 0.6259
6 Ge 0.5000 0.5000 0.0000
7 Pt 0.0000 0.0000 0.5000
8 Pt 0.0000 0.5000 0.1592
9 Pt 0.5000 0.0000 0.8408
10 Pt 0.5000 0.5000 0.5000

Summary:
The crystal system is tetragonal. For the magnetization, the calculation gives 11.25 Bohr magnetons per cell. As for the total energy: -7.89 eV per atom. The value obtained for the calculated formation energy is -764.7 meV/atom. The space group is P-4m2, No. 115.

***

Record 2
This record from Alexandria describes HoGe2Pt4Rh after structural relaxation. The functional is PBE-GGA.

Unit cell a=3.9214 b=3.9214 c=9.6992 alpha=90.00 beta=90.00 gamma=90.00
Sites, in units of the cell vectors:
1 Ho 0.0000 0.0000 0.0000
2 Ge 0.5000 0.5000 0.3778
3 Ge 0.5000 0.5000 0.6222
4 Pt 0.0000 0.5000 0.2244
5 Pt 0.0000 0.5000 0.7756
6 Pt 0.5000 0.0000 0.2244
7 Pt 0.5000 0.0000 0.7756
8 Rh 0.0000 0.0000 0.5000

Summary:
The crystal system is tetragonal. For the magnetization, the calculation gives 0.00 Bohr magnetons per cell. As for the total energy: -6.09 eV per atom. The value obtained for the calculated formation energy is -420.6 meV/atom. The space group is P4/mmm, No. 123.

***

Record 3
This record from Alexandria describes Ho2Ge3Pt4Rh after structural relaxation. The functional is PBE-GGA.

Unit cell a=3.9829 b=3.9829 c=11.6173 alpha=90.00 beta=90.00 gamma=90.00
Sites, in units of the cell vectors:
1 Ho 0.0000 0.5000 0.2400
2 Ho 0.5000 0.0000 0.7600
3 Ge 0.0000 0.0000 0.0000
4 Ge 0.0000 0.5000 0.6346
5 Ge 0.5000 0.0000 0.3654
6 Pt 0.0000 0.0000 0.5000
7 Pt 0.0000 0.5000 0.8404
8 Pt 0.5000 0.0000 0.1596
9 Pt 0.5000 0.5000 0.5000
10 Rh 0.5000 0.5000 0.0000

Summary:
The crystal system is tetragonal. For the magnetization, the calculation gives 0.00 Bohr magnetons per cell. As for the total energy: -6.25 eV per atom. The value obtained for the calculated formation energy is -802.7 meV/atom. The space group is P-4m2, No. 115.

***

Record 4
This record from Alexandria describes Ho2Ge4PtRh3 after structural relaxation. The functional is PBE-GGA.

Unit cell a=4.1623 b=4.1623 c=10.3461 alpha=90.00 beta=90.00 gamma=90.00
Sites, in units of the cell vectors:
1 Ho 0.0000 0.5000 0.2421
2 Ho 0.5000 0.0000 0.7579
3 Ge 0.0000 0.0000 0.0000
4 Ge 0.0000 0.5000 0.6384
5 Ge 0.5000 0.0000 0.3616
6 Ge 0.5000 0.5000 0.0000
7 Pt 0.0000 0.0000 0.5000
8 Rh 0.0000 0.5000 0.8699
9 Rh 0.5000 0.0000 0.1301
10 Rh 0.5000 0.5000 0.5000

Summary:
The crystal system is tetragonal. For the magnetization, the calculation gives 0.00 Bohr magnetons per cell. As for the total energy: -6.42 eV per atom. The value obtained for the calculated formation energy is -843.4 meV/atom. The space group is P-4m2, No. 115.

***

Record 5
This record from Alexandria describes Ho4GePtS2 after structural relaxation. The functional is PBE-GGA.

Unit cell a=6.8450 b=3.9601 c=7.1590 alpha=90.00 beta=108.98 gamma=90.00
Sites, in units of the cell vectors:
1 Ho 0.2447 0.0000 0.2485
2 Ho 0.2487 0.5000 0.7457
3 Ho 0.7513 0.5000 0.2543
4 Ho 0.7553 0.0000 0.7515
5 Ge 0.5000 0.0000 0.0000
6 Pt 0.0000 0.5000 0.0000
7 S 0.0000 0.0000 0.5000
8 S 0.5000 0.5000 0.5000

Summary:
The crystal system is monoclinic. For the magnetization, the calculation gives 0.00 Bohr magnetons per cell. As for the total energy: -6.12 eV per atom. The space group is P2/m, No. 10.

***

Record 6
This record from Alexandria describes HoGe2Sb2Pt7 after structural relaxation. The functional is PBE-GGA.

Unit cell a=3.9603 b=3.9603 c=15.7373 alpha=97.18 beta=97.18 gamma=89.98
Sites, in units of the cell vectors:
1 Ho 0.0000 0.0000 0.0000
2 Ge 0.3816 0.3816 0.7592
3 Ge 0.6184 0.6184 0.2408
4 Sb 0.2115 0.2115 0.4247
5 Sb 0.7885 0.7885 0.5753
6 Pt 0.0699 0.5702 0.1420
7 Pt 0.3003 0.3003 0.5998
8 Pt 0.4298 0.9301 0.8580
9 Pt 0.5000 0.5000 0.0000
10 Pt 0.5702 0.0699 0.1420
11 Pt 0.6997 0.6997 0.4002
12 Pt 0.9301 0.4298 0.8580

Summary:
The crystal system is monoclinic. For the magnetization, the calculation gives 0.00 Bohr magnetons per cell. As for the total energy: -5.98 eV per atom. The space group is C2/m, No. 12.

***

Record 7
This record from Alexandria describes HoScGePt after structural relaxation. The functional is PBE-GGA.

Unit cell a=4.8623 b=4.8623 c=4.8623 alpha=60.00 beta=60.00 gamma=60.00
Sites, in units of the cell vectors:
1 Ho 0.0000 0.0000 0.0000
2 Sc 0.5000 0.5000 0.5000
3 Ge 0.2500 0.2500 0.2500
4 Pt 0.7500 0.7500 0.7500

Summary:
The crystal system is cubic. For the magnetization, the calculation gives 0.00 Bohr magnetons per cell. The calculation puts the offset from the most stable computed form at 0.127 eV/atom. As for the total energy: -6.32 eV per atom. The value obtained for the calculated formation energy is -923.9 meV/atom. The space group is F-43m, No. 216.

***

Record 8
This record from Alexandria describes HoScGePt after structural relaxation. The functional is PBE-GGA.

Unit cell a=4.1729 b=5.6462 c=5.6462 alpha=38.96 beta=90.00 gamma=90.00
Sites, in units of the cell vectors:
1 Ho 0.0000 0.0000 0.0000
2 Sc 0.5000 0.7178 0.7178
3 Ge 0.0000 0.2718 0.2718
4 Pt 0.5000 0.4402 0.4402

Summary:
The crystal system is orthorhombic. For the magnetization, the calculation gives 0.00 Bohr magnetons per cell. The calculation puts the offset from the most stable computed form at 0.000 eV/atom. As for the total energy: -6.44 eV per atom. The value obtained for the calculated formation energy is -1051.0 meV/atom. The space group is Amm2, No. 38.

***

Question: What is the magnetization in the second record?
Answer: 0.00 Bohr magnetons per cell